Below is crystalline MnCuTe2 at its relaxed geometry, with properties calculated at the PBE level.

## Properties
**D(E_F)**: 1.8 states/eV/cell
**Density**: 5.592 g cm⁻³
**Electronic total energy**: -19.88 eV for the cell shown

POSCAR file:
```
MnCuTe2
1.0
4.280 0.000 0.000
0.000 4.280 0.000
0.000 0.000 6.058
Mn Cu Te
1 1 2
Direct
0.000 0.000 0.000 Mn
0.500 0.500 0.500 Cu
0.000 0.500 0.262 Te
0.500 0.000 0.738 Te
```

=====

Below is crystalline EuCdInCu at its relaxed geometry, with properties calculated at the PBE level.

## Properties
**D(E_F)**: 11.5 states/eV/cell
**Density**: 8.101 g cm⁻³
**Electronic total energy**: -18.79 eV for the cell shown

POSCAR file:
```
EuCdInCu
1.0
5.044 0.000 0.000
2.522 4.368 0.000
2.522 1.456 4.119
Eu Cd Cu In
1 1 1 1
Direct
0.250 0.250 0.250 Eu
0.000 0.000 0.000 Cd
0.500 0.500 0.500 Cu
0.750 0.750 0.750 In
```

=====

Below is crystalline NaPm3Fe at its relaxed geometry, with properties calculated at the PBE level.

## Properties
**D(E_F)**: 6.3 states/eV/cell
**Density**: 5.435 g cm⁻³
**Electronic total energy**: -23.08 eV for the cell shown

POSCAR file:
```
NaPm3Fe
1.0
-3.353 -4.089 -1.068
3.616 -3.481 1.977
-2.187 0.513 4.904
Na Fe Pm
1 1 3
Direct
0.500 0.500 0.500 Na
0.000 0.000 0.000 Fe
0.000 0.500 0.000 Pm
0.000 0.000 0.500 Pm
0.500 0.000 0.000 Pm
```